VASP calculation (PBEsol) on a relaxed RbLiIn3 crystal.

Summary:
**ΔH_f (0 K)**: 0.05 eV/atom
**V**: 144.5 Å³/f.u.
**SG**: Pm-3m (221)
**Magnetic moment**: 0.0 μB per formula unit
**Mass density**: 5.02 g cm⁻³
**N(E_F)**: 2.58 states/eV per cell

Cell: 5.248 5.248 5.248 Å, 90.00 90.00 90.00°
Fractional coordinates of all 5 atoms:
Rb  0.500  0.500  0.500
In  0.500  0.000  0.000
Li  0.000  0.000  0.000
In  0.000  0.000  0.500
In  0.000  0.500  0.000



VASP calculation (PBEsol) on a relaxed IrBrCl2 crystal.

Summary:
**V**: 84.5 Å³/f.u.
**Formation energy from raw total energies**: 0.1040 eV/atom
**SG**: I-42d (122)
**Magnetic moment**: 0.0 μB per formula unit
**Mass density**: 6.74 g cm⁻³
**Excess energy over the best structure of this formula in the dataset**: 0 meV per atom
**N(E_F)**: 5.15 states/eV per cell

Cell: 5.283 6.241 6.241 Å, 79.68 64.96 64.96°
Fractional coordinates of all 8 atoms:
Ir  0.750  0.500  0.500
Br  0.250  0.500  0.500
Ir  0.000  0.000  0.000
Cl  0.875  0.378  0.122
Br  0.500  0.000  0.000
Cl  0.003  0.122  0.622
Cl  0.375  0.622  0.878
Cl  0.747  0.878  0.378



VASP calculation (PBEsol) on a relaxed La5Ir crystal.

Summary:
**ΔH_f (0 K)**: -0.12 eV/atom
**V**: 184.6 Å³/f.u.
**SG**: Amm2 (38)
**Magnetic moment**: 0.0 μB per formula unit
**Mass density**: 7.98 g cm⁻³
**N(E_F)**: 6.86 states/eV per cell

Cell: 3.801 5.823 8.555 Å, 90.00 102.84 90.00°
Fractional coordinates of all 6 atoms:
La  0.460  0.500  0.920
La  0.618  0.000  0.237
Ir  0.996  0.000  0.993
La  0.782  0.500  0.565
La  0.108  0.500  0.215
La  0.369  0.000  0.737



VASP calculation (PBEsol) on a relaxed KZrCd crystal.

Summary:
**ΔH_f (0 K)**: 0.60 eV/atom
**V**: 73.8 Å³/f.u.
**SG**: P-6m2 (187)
**Magnetic moment**: 0.0 μB per formula unit
**Mass density**: 5.46 g cm⁻³
**N(E_F)**: 2.07 states/eV per cell

Cell: 2.832 5.484 5.484 Å, 120.00 90.00 90.00°
Fractional coordinates of all 3 atoms:
Cd  0.000  0.000  0.000
K  0.501  0.333  0.667
Zr  0.499  0.667  0.333



VASP calculation (PBEsol) on a relaxed Ni2Pt3 crystal.

Summary:
**ΔH_f (0 K)**: -0.04 eV/atom
**V**: 67.1 Å³/f.u.
**SG**: R-3m (166)
**Magnetic moment**: 2.3 μB per formula unit
**Mass density**: 17.38 g cm⁻³
**Excess energy over the best structure of this formula in the dataset**: 9 meV per atom
**N(E_F)**: 8.00 states/eV per cell

Cell: 2.692 2.692 10.805 Å, 82.84 82.84 60.00°
Last column: magnetic moment on the atom in μB.
Fractional coordinates of all 5 atoms:
Pt  0.000  0.000  0.000  0.25
Pt  0.796  0.796  0.612  0.25
Ni  0.398  0.398  0.805  0.82
Pt  0.204  0.204  0.388  0.25
Ni  0.602  0.602  0.195  0.82



VASP calculation (PBEsol) on a relaxed KBa2Zr crystal.

Summary:
**ΔH_f (0 K)**: 0.67 eV/atom
**V**: 164.0 Å³/f.u.
**SG**: Pm (6)
**Magnetic moment**: 1.3 μB per formula unit
**Mass density**: 4.10 g cm⁻³
**Excess energy over the best structure of this formula in the dataset**: 0 meV per atom
**N(E_F)**: 5.53 states/eV per cell

Cell: 3.722 6.461 6.822 Å, 90.00 90.04 90.00°
Last column: magnetic moment on the atom in μB.
Fractional coordinates of all 4 atoms:
Ba  0.876  0.000  0.931  0.04
Zr  0.375  0.500  0.813  0.64
K  0.374  0.000  0.462  0.00
Ba  0.874  0.500  0.293  0.04



VASP calculation (PBEsol) on a relaxed CaLaRh4 crystal.

Summary:
**ΔH_f (0 K)**: -0.52 eV/atom
**V**: 106.1 Å³/f.u.
**SG**: F-43m (216)
**Magnetic moment**: 0.0 μB per formula unit
**Mass density**: 9.24 g cm⁻³
**N(E_F)**: 6.65 states/eV per cell

Cell: 5.314 5.314 5.314 Å, 60.00 60.00 60.00°
Fractional coordinates of all 6 atoms:
Ca  0.750  0.750  0.750
Rh  0.375  0.375  0.375
Rh  0.375  0.375  0.874
Rh  0.375  0.874  0.375
La  0.000  0.000  0.000
Rh  0.874  0.375  0.375



VASP calculation (PBEsol) on a relaxed Zr2ScFe crystal.

Summary:
**ΔH_f (0 K)**: -0.10 eV/atom
**V**: 75.3 Å³/f.u.
**SG**: Immm (71)
**Magnetic moment**: 0.0 μB per formula unit
**Mass density**: 6.25 g cm⁻³
**Excess energy over the best structure of this formula in the dataset**: 0 meV per atom
**N(E_F)**: 2.96 states/eV per cell

Cell: 3.247 4.865 5.591 Å, 115.79 106.88 90.00°
Fractional coordinates of all 4 atoms:
Zr  0.796  0.796  0.592
Zr  0.204  0.204  0.408
Fe  0.500  0.000  0.000
Sc  0.000  0.500  0.000